Entry 1:
Material: RbTcBiMo2
Method: DFT, GGA-PBE
State: relaxed

```
RbTcBiMo2
1.0
5.444 0.000 0.000
0.000 5.237 0.000
0.000 0.000 5.444
Rb Mo Bi Tc
1 2 1 1
direct
0.500 0.500 0.500 Rb
0.000 0.000 0.500 Mo
0.500 0.000 0.000 Mo
0.000 0.000 0.000 Bi
0.000 0.500 0.000 Tc
```

Calculated values
**Energy relative to the elements**: 2.289 eV per atom
**Calculated volume**: 31.0 Å³ per atom
**Magnetic moment**: 8.81 μB/f.u.
**D(E_F)**: 8.71 states/eV per cell

***

Entry 2:
Material: RbY2BiMo
Method: DFT, GGA-PBE
State: relaxed

```
RbY2BiMo
1.0
5.997 0.000 0.000
0.000 5.365 0.000
0.000 0.000 5.997
Rb Y Bi Mo
1 2 1 1
direct
0.500 0.500 0.500 Rb
0.500 0.000 0.000 Y
0.000 0.000 0.500 Y
0.000 0.000 0.000 Bi
0.000 0.500 0.000 Mo
```

Calculated values
**Energy relative to the elements**: 0.945 eV per atom
**Calculated volume**: 38.6 Å³ per atom
**Magnetic moment**: 1.53 μB/f.u.
**D(E_F)**: 8.53 states/eV per cell

***

Entry 3:
Material: RbYBi2Mo
Method: DFT, GGA-PBE
State: relaxed

```
RbYBi2Mo
1.0
-4.071 -1.419 -4.153
-3.396 -2.031 4.023
-2.507 5.401 0.611
Bi Rb Y Mo
2 1 1 1
direct
0.500 0.000 0.000 Bi
0.000 0.000 0.500 Bi
0.500 0.500 0.500 Rb
0.000 0.000 0.000 Y
0.000 0.500 0.000 Mo
```

Calculated values
**Energy relative to the elements**: 0.736 eV per atom
**Calculated volume**: 40.4 Å³ per atom
**Magnetic moment**: 3.91 μB/f.u.
**D(E_F)**: 4.44 states/eV per cell

***

Entry 4:
Material: Re2BiMo
Method: DFT, GGA-PBE
State: relaxed

```
Re2BiMo
1.0
-3.806 -0.040 1.738
-1.729 -0.355 -3.794
-2.364 -9.334 -0.357
Bi Re Mo
2 4 2
direct
0.000 0.000 0.000 Bi
0.750 0.250 0.500 Bi
0.202 0.625 0.250 Re
0.875 0.798 0.750 Re
0.548 0.125 0.250 Re
0.375 0.452 0.750 Re
0.250 0.750 0.500 Mo
0.500 0.500 0.000 Mo
```

Calculated values
**Energy relative to the elements**: 1.184 eV per atom
**Calculated volume**: 20.1 Å³ per atom
**Magnetic moment**: 0.00 μB/f.u.
**D(E_F)**: 9.91 states/eV per cell